(1)
This record from Alexandria via LeMat-Bulk describes As2Se2I after structural relaxation. The functional is GGA-PBE.

## Properties
V = 28.71 A^3/atom
crystal system = tetragonal
uncorrected formation energy = 0.32 eV per formula unit
ρ = 5.028 g/cm3
offset from the most stable computed form = 7.85 kJ per mole of atoms
size of the total moment = 0.00 μB per formula unit

Cell: 8.8469 8.8469 3.6686 Å, 90.00 90.00 90.00°
Sites, in units of the cell vectors:
As 0.2351 0.2649 0.0000
As 0.2649 0.7649 0.0000
As 0.7351 0.2351 0.0000
As 0.7649 0.7351 0.0000
Se 0.1351 0.6351 0.5000
Se 0.3649 0.1351 0.5000
Se 0.6351 0.8649 0.5000
Se 0.8649 0.3649 0.5000
I 0.0000 0.0000 0.0000
I 0.5000 0.5000 0.0000


(2)
This record from Alexandria via LeMat-Bulk describes Cu2AsS5 after structural relaxation. The functional is GGA-PBE.

## Properties
V = 24.73 A^3/atom
crystal system = triclinic
uncorrected formation energy = -0.16 eV per formula unit
ρ = 3.041 g/cm3
size of the total moment = 0.00 μB per formula unit

Cell: 5.1099 6.4777 7.1369 Å, 111.64 108.09 99.63°
Sites, in units of the cell vectors:
Cu 0.0000 0.0000 0.0000
Cu 0.4297 0.5692 0.0101
As 0.7057 0.1879 0.2798
S 0.3433 0.8908 0.2134
S 0.3749 0.3596 0.1899
S 0.6557 0.6206 0.8063
S 0.6965 0.0776 0.7397
S 0.8835 0.3705 0.7303


(3)
This record from Alexandria via LeMat-Bulk describes InMoW2 after structural relaxation. The functional is GGA-PBE.

## Properties
V = 17.39 A^3/atom
crystal system = tetragonal
DFT formation energy = 0.451 eV/atom
ρ = 13.811 g/cm3
size of the total moment = 0.00 μB per formula unit

Cell: 3.3843 3.3843 6.0721 Å, 90.00 90.00 90.00°
Sites, in units of the cell vectors:
In 0.0000 0.0000 0.0000
Mo 0.0000 0.0000 0.5000
W 0.5000 0.5000 0.2795
W 0.5000 0.5000 0.7205


(4)
This record from Alexandria via LeMat-Bulk describes Zr2TaAu after structural relaxation. The functional is GGA-PBE.

## Properties
V = 20.44 A^3/atom
crystal system = monoclinic
DFT formation energy = -0.121 eV/atom
ρ = 11.380 g/cm3
offset from the most stable computed form = 11.39 kJ per mole of atoms
size of the total moment = 0.00 μB per formula unit

Cell: 5.7274 5.7274 5.2718 Å, 113.25 113.25 31.23°
Sites, in units of the cell vectors:
Zr 0.0000 0.0000 0.0000
Zr 0.2158 0.2158 0.6158
Ta 0.4622 0.4622 0.4838
Au 0.7435 0.7435 0.1077


(5)
This record from Alexandria via LeMat-Bulk describes Zr6Co5Ni after structural relaxation. The functional is GGA-PBE.

## Properties
V = 16.24 A^3/atom
crystal system = monoclinic
DFT formation energy = -0.292 eV/atom
ρ = 7.674 g/cm3
size of the total moment = 0.95 μB per formula unit

Cell: 7.8110 7.8110 4.5294 Å, 106.75 106.75 48.01°
Sites, in units of the cell vectors:
Zr 0.0824 0.5830 0.3326
Zr 0.2492 0.7508 0.0000
Zr 0.4170 0.9176 0.6674
Zr 0.5830 0.0824 0.3326
Zr 0.7508 0.2492 0.0000
Zr 0.9176 0.4170 0.6674
Co 0.0000 0.0000 0.5000
Co 0.1663 0.1663 0.1665
Co 0.3314 0.3314 0.8313
Co 0.6686 0.6686 0.1687
Co 0.8337 0.8337 0.8335
Ni 0.5000 0.5000 0.5000